Material: LaPrIO6
Method: DFT, PBE
State: optimized geometry

The structure in extended XYZ format:
```
18
Lattice="-3.706 3.522 -2.910 1.201 -5.369 -2.082 -7.420 -3.624 5.064" Properties=species:S:1:pos:R:3 pbc="T T T"
O -7.163 -4.009 2.662
O -2.762 -1.462 -2.590
O -2.327 0.550 -0.514
O -4.128 1.118 -2.746
O -6.217 -3.736 -0.015
O -4.768 -6.256 0.304
O -4.455 -4.129 2.285
O -5.156 0.785 -0.232
O -3.708 -1.735 0.087
O -5.469 -1.343 -2.213
O -7.597 -6.021 0.585
O -5.796 -6.590 2.818
La -2.289 -3.311 -1.092
La -7.635 -2.160 1.164
I -5.999 -5.124 1.440
I -3.925 -0.348 -1.368
Pr -3.710 -1.812 2.532
Pr 0.000 0.000 0.000
```

The density is 5.75 g cm⁻³. The value obtained for the raw total energy is -6.518 eV/atom. The space-group type is P-31c. The formation energy without anion corrections is -17.65 eV per formula unit.